CaCdIn3: optimized geometry, GGA-PBE.

Values from the calculation:
Total energy (eV per atom): -2.4395
Size of the total moment (μB per cell): 0.0
Symmetry: C2/m (12)

Cell lengths 5.0238, 8.3240, 7.0812 Å; angles 106.45, 90.00, 107.56 degrees
Atoms (fractional coordinates):
1 Ca 0.8747 0.7494 0.0285
2 Ca 0.1253 0.2506 0.9715
3 Cd 0.5189 0.0379 0.2109
4 Cd 0.4811 0.9621 0.7891
5 In 0.0804 0.1607 0.4250
6 In 0.9196 0.8393 0.5750
7 In 0.3408 0.6816 0.3048
8 In 0.6592 0.3184 0.6952
9 In 0.2782 0.5565 0.7000
10 In 0.7218 0.4435 0.3000